Entry from Alexandria: crystalline Tb2B4Os3 at its relaxed geometry (GGA-PBE).

Properties
Formation energy from the elements in eV per formula unit: -0.02

a = 5.688 Å, b = 9.205 Å, c = 9.672 Å
α = 90.00°, β = 90.00°, γ = 90.00°
Space group Fmmm (No. 69)
Unique sites:
Tb 0.000 0.000 0.158
B 0.000 0.217 0.335
Os 0.000 0.000 0.500
Os 0.250 0.250 0.000